Here is a relaxed structure of Ac4GaNiI2 from Alexandria. Energies are from GGA-PBE.

Calculated values
raw formation energy: -0.700 eV per atom
final energy: -4.242 eV/atom

```
Ac4GaNiI2
1.0
4.348 0.000 0.000
0.000 8.113 0.316
0.000 -2.687 8.331
I Ac Ni Ga
2 4 1 1
direct
0.000 0.500 0.500
0.500 0.000 0.500
0.000 0.247 0.800
0.000 0.753 0.200
0.500 0.785 0.815
0.500 0.215 0.185
0.000 0.000 0.000
0.500 0.500 0.000
```

***

Here is a relaxed structure of SrCa2Cl from Alexandria. Energies are from GGA-PBE.

Calculated values
raw formation energy: -0.471 eV per atom
final energy: -2.354 eV/atom

```
SrCa2Cl
1.0
-0.904 -3.893 -0.687
2.263 0.400 -5.242
6.211 -1.890 2.536
Sr Ca Cl
1 2 1
direct
0.000 0.500 0.500
0.500 0.500 0.000
0.000 0.000 0.000
0.500 0.000 0.500
```

***

Here is a relaxed structure of Rb2MnCo from Alexandria. Energies are from GGA-PBE.

Calculated values
E_form: 1.3954 eV/atom
final energy: -3.157 eV/atom

```
Rb2MnCo
1.0
0.000 4.231 4.231
4.231 0.000 4.231
4.231 4.231 0.000
Rb Co Mn
2 1 1
direct
0.750 0.750 0.750
0.250 0.250 0.250
0.500 0.500 0.500
0.000 0.000 0.000
```

***

Here is a relaxed structure of NdSi2AgPd5 from Alexandria. Energies are from GGA-PBE.

Calculated values
raw formation energy: -0.569 eV per atom
final energy: -5.506 eV/atom

```
NdSi2AgPd5
1.0
-3.018 -2.476 -1.420
-0.381 -1.699 3.772
-6.165 6.256 2.194
Pd Si Nd Ag
5 2 1 1
direct
0.500 0.500 0.500
0.000 0.500 0.257
0.000 0.500 0.743
0.500 0.000 0.743
0.500 0.000 0.257
0.500 0.500 0.127
0.500 0.500 0.873
0.000 0.000 0.500
0.000 0.000 0.000
```

***

Here is a relaxed structure of NaInS2Cl from Alexandria. Energies are from GGA-PBE.

Calculated values
raw formation energy: -0.474 eV per atom
final energy: -3.306 eV/atom

```
NaInS2Cl
1.0
5.004 0.000 0.000
0.000 5.004 0.000
0.000 0.000 5.408
S Na Cl In
2 1 1 1
direct
0.000 0.500 0.000
0.500 0.000 0.000
0.500 0.500 0.500
0.000 0.000 0.500
0.000 0.000 0.000
```

***

Here is a relaxed structure of CaTmCu from Alexandria. Energies are from GGA-PBE.

Calculated values
E_form: -0.0918 eV/atom
final energy: -3.615 eV/atom

```
CaTmCu
1.0
3.521 0.000 0.000
0.000 3.521 0.000
-1.761 -1.761 6.287
Ca Tm Cu
1 1 1
direct
0.025 0.025 0.050
0.294 0.294 0.589
0.681 0.681 0.362
```

***

Here is a relaxed structure of VAsI from Alexandria. Energies are from GGA-PBE.

Calculated values
raw formation energy: -0.130 eV per atom
final energy: -5.236 eV/atom

```
VAsI
1.0
3.706 0.017 -0.007
0.327 6.630 -0.046
1.752 2.615 6.979
I V As
2 2 2
direct
0.350 0.275 0.352
0.966 0.840 0.180
0.600 0.608 0.023
0.999 0.294 0.065
0.569 0.332 0.823
0.232 0.666 0.785
```

***

Here is a relaxed structure of Hf2Nb2O from Alexandria. Energies are from GGA-PBE.

Calculated values
raw formation energy: -0.347 eV per atom
final energy: -9.347 eV/atom

```
Hf2Nb2O
1.0
-1.288 2.345 -5.097
-1.567 -5.171 -1.984
-5.188 0.909 1.729
Hf Nb O
4 4 2
direct
0.667 0.833 0.500
0.167 0.667 0.500
0.833 0.333 0.500
0.333 0.167 0.500
0.165 0.335 0.000
0.665 0.165 0.000
0.335 0.835 0.000
0.835 0.665 0.000
0.500 0.500 0.000
0.000 0.000 0.000
```

***

What is the formula in the first record? Ac4GaNiI2